Model i:
The following is a DFT calculation (PBE) of a relaxed Er4Mg7Sc crystal.

ρ: 4.555 Mg/m³
volume: 26.857 Å³/atom

Structure (CIF):
```
data_Er4Mg7Sc
_chemical_formula_sum 'Er8 Mg14 Sc2'
_cell_length_a 11.0637
_cell_length_b 5.5415
_cell_length_c 11.5088
_cell_angle_alpha 90.00
_cell_angle_beta 114.00
_cell_angle_gamma 90.00
_space_group_name_H-M_alt 'C 1 2/m 1'
_space_group_IT_number 12
loop_
_space_group_symop_operation_xyz
'x,y,z'
'-x,-y,-z'
'-x,y,-z'
'x,-y,z'
'x+1/2,y+1/2,z'
'-x+1/2,-y+1/2,-z'
'-x+1/2,y+1/2,-z'
'x+1/2,-y+1/2,z'
loop_
_atom_site_label
_atom_site_type_symbol
_atom_site_fract_x
_atom_site_fract_y
_atom_site_fract_z
Er1 Er 0.0550 0.0000 0.3391
Er2 Er 0.1551 0.5000 0.7814
Mg1 Mg 0.0000 0.0000 0.0000
Mg2 Mg 0.1325 0.5000 0.5067
Mg3 Mg 0.2080 0.0000 0.9243
Mg4 Mg 0.2260 0.5000 0.3045
Sc1 Sc 0.0000 0.5000 0.0000
```

Model ii:
The following is a DFT calculation (PBE) of a relaxed Er4Mg7Sc crystal.

ρ: 4.768 Mg/m³
volume: 25.662 Å³/atom

Structure (CIF):
```
data_Er4Mg7Sc
_chemical_formula_sum 'Er4 Mg7 Sc1'
_cell_length_a 5.2110
_cell_length_b 5.2110
_cell_length_c 13.0943
_cell_angle_alpha 90.00
_cell_angle_beta 90.00
_cell_angle_gamma 120.00
_space_group_name_H-M_alt 'P -3 m 1'
_space_group_IT_number 164
_space_group_name_Hall '-P 3 2"'
loop_
_atom_site_label
_atom_site_type_symbol
_atom_site_fract_x
_atom_site_fract_y
_atom_site_fract_z
Er1 Er 0.3333 0.6667 0.1572
Er2 Er 0.3333 0.6667 0.4193
Mg1 Mg 0.0000 0.0000 0.2560
Mg2 Mg 0.0000 0.0000 0.5000
Mg3 Mg 0.3333 0.6667 0.6826
Mg4 Mg 0.3333 0.6667 0.9192
Sc1 Sc 0.0000 0.0000 0.0000
```

Most stable structure, least stable structure: model ii, model i.

Model i:
The following is a DFT calculation (PBE) of a relaxed ErMg4Sc2 crystal.

ρ: 3.168 Mg/m³
volume: 26.533 Å³/atom

Structure (CIF):
```
data_ErMg4Sc2
_chemical_formula_sum 'Er2 Mg8 Sc4'
_cell_length_a 5.6726
_cell_length_b 11.8707
_cell_length_c 5.5165
_cell_angle_alpha 90.00
_cell_angle_beta 90.00
_cell_angle_gamma 90.00
_space_group_name_H-M_alt 'C m m m'
_space_group_IT_number 65
_space_group_name_Hall '-C 2 2'
loop_
_atom_site_label
_atom_site_type_symbol
_atom_site_fract_x
_atom_site_fract_y
_atom_site_fract_z
Er1 Er 0.0000 0.0000 0.0000
Mg1 Mg 0.0000 0.1258 0.5000
Mg2 Mg 0.0000 0.2816 0.0000
Sc1 Sc 0.0000 0.3755 0.5000
```

Model ii:
The following is a DFT calculation (PBE) of a relaxed ErMg4Sc2 crystal.

ρ: 3.297 Mg/m³
volume: 25.499 Å³/atom

Structure (CIF):
```
data_ErMg4Sc2
_chemical_formula_sum 'Er2 Mg8 Sc4'
_cell_length_a 9.9374
_cell_length_b 10.6680
_cell_length_c 3.3674
_cell_angle_alpha 90.00
_cell_angle_beta 90.00
_cell_angle_gamma 90.00
_space_group_name_H-M_alt 'C m m m'
_space_group_IT_number 65
_space_group_name_Hall '-C 2 2'
loop_
_atom_site_label
_atom_site_type_symbol
_atom_site_fract_x
_atom_site_fract_y
_atom_site_fract_z
Er1 Er 0.0000 0.0000 0.0000
Mg1 Mg 0.0000 0.2713 0.5000
Mg2 Mg 0.2500 0.2500 0.0000
Sc1 Sc 0.2040 0.5000 0.5000
```

Most stable structure, least stable structure: model ii, model i.

Model i:
The following is a DFT calculation (PBE) of a relaxed Er6MgSc2 crystal.

ρ: 7.252 Mg/m³
volume: 28.439 Å³/atom

Structure (CIF):
```
data_Er6MgSc2
_chemical_formula_sum 'Er12 Mg2 Sc4'
_cell_length_a 10.2319
_cell_length_b 10.2319
_cell_length_c 4.8895
_cell_angle_alpha 90.00
_cell_angle_beta 90.00
_cell_angle_gamma 90.00
_space_group_name_H-M_alt 'P 42/m n m'
_space_group_IT_number 136
_space_group_name_Hall '-P 4n 2n'
loop_
_atom_site_label
_atom_site_type_symbol
_atom_site_fract_x
_atom_site_fract_y
_atom_site_fract_z
Er1 Er 0.0011 0.3319 0.0000
Er2 Er 0.1629 0.8371 0.5000
Mg1 Mg 0.0000 0.0000 0.0000
Sc1 Sc 0.1705 0.1705 0.5000
```

Model ii:
The following is a DFT calculation (PBE) of a relaxed Er6MgSc2 crystal.

ρ: 7.148 Mg/m³
volume: 28.852 Å³/atom

Structure (CIF):
```
data_Er6MgSc2
_chemical_formula_sum 'Er12 Mg2 Sc4'
_cell_length_a 10.3852
_cell_length_b 15.5620
_cell_length_c 3.3822
_cell_angle_alpha 90.00
_cell_angle_beta 108.17
_cell_angle_gamma 90.00
_space_group_name_H-M_alt 'C 1 2/m 1'
_space_group_IT_number 12
loop_
_space_group_symop_operation_xyz
'x,y,z'
'-x,-y,-z'
'-x,y,-z'
'x,-y,z'
'x+1/2,y+1/2,z'
'-x+1/2,-y+1/2,-z'
'-x+1/2,y+1/2,-z'
'x+1/2,-y+1/2,z'
loop_
_atom_site_label
_atom_site_type_symbol
_atom_site_fract_x
_atom_site_fract_y
_atom_site_fract_z
Er1 Er 0.1658 0.1773 0.1718
Er2 Er 0.1847 0.5000 0.1822
Mg1 Mg 0.0000 0.0000 0.0000
Sc1 Sc 0.0000 0.3409 0.5000
```

Most stable structure, least stable structure: model i, model ii.

Model i:
The following is a DFT calculation (PBE) of a relaxed Er2Mg3Sc3 crystal.

ρ: 4.461 Mg/m³
volume: 25.231 Å³/atom

Structure (CIF):
```
data_Er2Mg3Sc3
_chemical_formula_sum 'Er6 Mg9 Sc9'
_cell_length_a 5.2147
_cell_length_b 5.2147
_cell_length_c 25.7132
_cell_angle_alpha 90.00
_cell_angle_beta 90.00
_cell_angle_gamma 120.00
_space_group_name_H-M_alt 'R 3 m'
_space_group_IT_number 160
_space_group_name_Hall 'R 3 -2"'
loop_
_atom_site_label
_atom_site_type_symbol
_atom_site_fract_x
_atom_site_fract_y
_atom_site_fract_z
Er1 Er 0.0000 0.0000 0.0000
Er2 Er 0.0000 0.0000 0.4995
Mg1 Mg 0.0000 0.0000 0.1242
Mg2 Mg 0.0000 0.0000 0.3723
Mg3 Mg 0.0000 0.0000 0.8765
Sc1 Sc 0.0000 0.0000 0.2467
Sc2 Sc 0.0000 0.0000 0.6249
Sc3 Sc 0.0000 0.0000 0.7510
```

Model ii:
The following is a DFT calculation (PBE) of a relaxed Er2Mg3Sc3 crystal.

ρ: 4.448 Mg/m³
volume: 25.307 Å³/atom

Structure (CIF):
```
data_Er2Mg3Sc3
_chemical_formula_sum 'Er2 Mg3 Sc3'
_cell_length_a 4.9824
_cell_length_b 5.0083
_cell_length_c 8.1135
_cell_angle_alpha 90.00
_cell_angle_beta 90.00
_cell_angle_gamma 90.00
_space_group_name_H-M_alt 'P m m m'
_space_group_IT_number 47
loop_
_space_group_symop_operation_xyz
'x,y,z'
'-x,-y,-z'
'-x,-y,z'
'x,y,-z'
'x,-y,-z'
'-x,y,z'
'-x,y,-z'
'x,-y,z'
loop_
_atom_site_label
_atom_site_type_symbol
_atom_site_fract_x
_atom_site_fract_y
_atom_site_fract_z
Er1 Er 0.0000 0.0000 0.2491
Mg1 Mg 0.0000 0.5000 0.0000
Mg2 Mg 0.0000 0.5000 0.5000
Mg3 Mg 0.5000 0.0000 0.0000
Sc1 Sc 0.5000 0.0000 0.5000
Sc2 Sc 0.5000 0.5000 0.2418
```

Most stable structure, least stable structure: model i, model ii.